(1)
Ac2Ce3SmTe6 | PBE | optimized geometry

## Properties
Fermi-level density of states: 48.38 states/eV/cell
Uncorrected formation energy: -1.40 eV/atom

Cell: 7.868 13.650 7.985 Å, 90.00 109.28 90.00°
Space group C2/m (No. 12)
Unique sites:
Ac 0.000 0.165 0.000 x4
Ce 0.000 0.000 0.500 x2
Ce 0.000 0.328 0.500 x4
Sm 0.000 0.500 0.000 x2
Te 0.234 0.500 0.737 x4
Te 0.246 0.339 0.256 x8

---

(2)
SrLi2Ru | PBE | optimized geometry

## Properties
Fermi-level density of states: 3.67 states/eV/cell
ΔE_f: 0.474 eV/atom

Cell: 3.122 4.107 6.287 Å, 90.00 90.00 90.00°
Space group Pmmm (No. 47)
Unique sites:
Sr 0.000 0.000 0.000 x1
Li 0.500 0.500 0.322 x2
Ru 0.000 0.000 0.500 x1